# Tb2Nd3Er4 (PBE, relaxed)
data_Tb2Nd3Er4
_chemical_formula_sum 'Tb8 Nd12 Er16'
_cell_length_a 16.6127
_cell_length_b 11.6483
_cell_length_c 6.0630
_cell_angle_alpha 90.00
_cell_angle_beta 97.42
_cell_angle_gamma 90.00
_symmetry_space_group_name_H-M 'C 1 2/c 1'
_symmetry_Int_Tables_number 15
_symmetry_space_group_name_Hall '-C 2yc'
loop_
_atom_site_label
_atom_site_fract_x
_atom_site_fract_y
_atom_site_fract_z
Tb1 0.1189 0.1336 0.3142
Nd1 0.0000 0.1055 0.7500
Nd2 0.1659 0.3956 0.5861
Er1 0.0491 0.3665 0.0200
Er2 0.2173 0.1348 0.8516
# magnetization = 0.0 μB per cell
# DOS at the Fermi energy = 53.75 states/eV/cell
# energy of formation = 0.10 eV/atom
# calculated volume = 32.32 A^3/atom
# polymorph energy (0 for the lowest one) = 82 meV per atom
# uncorrected energy = -40.9 eV/f.u.



# Tb2NdEr8 (PBE, relaxed)
data_Tb2NdEr8
_chemical_formula_sum 'Tb4 Nd2 Er16'
_cell_length_a 5.4505
_cell_length_b 8.0492
_cell_length_c 15.9254
_cell_angle_alpha 90.00
_cell_angle_beta 90.00
_cell_angle_gamma 90.00
_symmetry_space_group_name_H-M 'I m m m'
_symmetry_Int_Tables_number 71
_symmetry_space_group_name_Hall '-I 2 2'
loop_
_atom_site_label
_atom_site_fract_x
_atom_site_fract_y
_atom_site_fract_z
Tb1 0.0000 0.0000 0.1997
Nd1 0.0000 0.0000 0.5000
Er1 0.0000 0.2054 0.0000
Er2 0.0000 0.2928 0.3599
Er3 0.0000 0.5000 0.1626
# magnetization = 0.0 μB per cell
# DOS at the Fermi energy = 29.30 states/eV/cell
# energy of formation = 0.11 eV/atom
# calculated volume = 31.76 A^3/atom
# polymorph energy (0 for the lowest one) = 93 meV per atom
# uncorrected energy = -49.3 eV/f.u.



# Tb2Nd5Er2 (PBE, relaxed)
data_Tb2Nd5Er2
_chemical_formula_sum 'Tb4 Nd10 Er4'
_cell_length_a 15.3600
_cell_length_b 5.1185
_cell_length_c 8.0816
_cell_angle_alpha 90.00
_cell_angle_beta 108.61
_cell_angle_gamma 90.00
_symmetry_space_group_name_H-M 'C 1 2/m 1'
_symmetry_Int_Tables_number 12
_symmetry_space_group_name_Hall '-C 2y'
loop_
_atom_site_label
_atom_site_fract_x
_atom_site_fract_y
_atom_site_fract_z
Tb1 0.1091 0.0000 0.1649
Nd1 0.0000 0.0000 0.5000
Nd2 0.1661 0.5000 0.5010
Nd3 0.2224 0.0000 0.8357
Er1 0.0547 0.5000 0.8370
# magnetization = 0.0 μB per cell
# DOS at the Fermi energy = 25.27 states/eV/cell
# energy of formation = 0.02 eV/atom
# calculated volume = 33.45 A^3/atom
# polymorph energy (0 for the lowest one) = 0 meV per atom
# uncorrected energy = -42.1 eV/f.u.



# Tb3Nd2Er9 (PBE, relaxed)
data_Tb3Nd2Er9
_chemical_formula_sum 'Tb3 Nd2 Er9'
_cell_length_a 5.3683
_cell_length_b 8.3175
_cell_length_c 10.5904
_cell_angle_alpha 97.38
_cell_angle_beta 100.69
_cell_angle_gamma 98.08
_symmetry_space_group_name_H-M 'P -1'
_symmetry_Int_Tables_number 2
_symmetry_space_group_name_Hall '-P 1'
loop_
_atom_site_label
_atom_site_fract_x
_atom_site_fract_y
_atom_site_fract_z
Tb1 0.0000 0.0000 0.0000
Tb2 0.2913 0.4046 0.6670
Nd1 0.4841 0.0200 0.7591
Er1 0.0000 0.0000 0.5000
Er2 0.0873 0.6317 0.1368
Er3 0.1095 0.3055 0.2989
Er4 0.3229 0.7104 0.4886
Er5 0.4803 0.6881 0.9343
# magnetization = 0.0 μB per cell
# DOS at the Fermi energy = 21.23 states/eV/cell
# energy of formation = 0.17 eV/atom
# calculated volume = 32.44 A^3/atom
# uncorrected energy = -62.0 eV/f.u.



# Tb5Nd2Er4 (PBE, relaxed)
data_Tb5Nd2Er4
_chemical_formula_sum 'Tb5 Nd2 Er4'
_cell_length_a 3.5618
_cell_length_b 8.7242
_cell_length_c 11.8108
_cell_angle_alpha 75.80
_cell_angle_beta 81.37
_cell_angle_gamma 90.00
_symmetry_space_group_name_H-M 'P -1'
_symmetry_Int_Tables_number 2
_symmetry_space_group_name_Hall '-P 1'
loop_
_atom_site_label
_atom_site_fract_x
_atom_site_fract_y
_atom_site_fract_z
Tb1 0.0000 0.0000 0.0000
Tb2 0.2727 0.1841 0.4554
Tb3 0.3633 0.9067 0.2734
Nd1 0.0898 0.7263 0.8188
Er1 0.1822 0.4539 0.6357
Er2 0.4535 0.6375 0.0934
# magnetization = 0.0 μB per cell
# DOS at the Fermi energy = 14.73 states/eV/cell
# energy of formation = 0.02 eV/atom
# calculated volume = 31.96 A^3/atom
# polymorph energy (0 for the lowest one) = 0 meV per atom
# uncorrected energy = -50.7 eV/f.u.



# TbNd4Er6 (PBE, relaxed)
data_TbNd4Er6
_chemical_formula_sum 'Tb1 Nd4 Er6'
_cell_length_a 10.9678
_cell_length_b 10.9678
_cell_length_c 3.5206
_cell_angle_alpha 90.00
_cell_angle_beta 90.00
_cell_angle_gamma 120.00
_symmetry_space_group_name_H-M 'P -6 m 2'
_symmetry_Int_Tables_number 187
_symmetry_space_group_name_Hall 'P -6 2'
loop_
_atom_site_label
_atom_site_fract_x
_atom_site_fract_y
_atom_site_fract_z
Tb1 0.0000 0.0000 0.0000
Nd1 0.3333 0.6667 0.0000
Nd2 0.3927 0.1963 0.5000
Er1 0.0079 0.5039 0.0000
Er2 0.1689 0.3377 0.5000
# magnetization = 0.0 μB per cell
# DOS at the Fermi energy = 17.12 states/eV/cell
# energy of formation = 0.16 eV/atom
# calculated volume = 33.34 A^3/atom
# polymorph energy (0 for the lowest one) = 0 meV per atom
# uncorrected energy = -49.3 eV/f.u.